## ScTl2TcF (PBEsol)

Data for a relaxed structure of ScTl2TcF.

The structure in CIF format:
```
data_ScTl2TcF
_chemical_formula_sum 'Sc1 Tl2 Tc1 F1'
_cell_length_a 3.7737
_cell_length_b 5.5946
_cell_length_c 5.5946
_cell_angle_alpha 90.00
_cell_angle_beta 90.00
_cell_angle_gamma 90.00
_symmetry_space_group_name_H-M 'P 1'
_symmetry_Int_Tables_number 1
loop_
_symmetry_equiv_pos_as_xyz
'x,y,z'
loop_
_atom_site_label
_atom_site_fract_x
_atom_site_fract_y
_atom_site_fract_z
Sc1 0.0000 0.0000 0.0000
Tl1 0.0000 0.0000 0.5000
Tl2 0.0000 0.5000 0.0000
Tc1 0.5000 0.5000 0.5000
F1 0.5000 0.0000 0.0000
```

Results
The calculation puts the density of states at the Fermi level at 4.7 states/eV per cell. Its uncorrected formation energy is 0.063 eV/atom.